A relaxed PaCo2GeO8 crystal, computed with PBE with a Hubbard U.

```
12
Lattice="-3.315 3.315 3.383 3.315 -3.315 3.383 3.315 3.315 -3.383" Properties=species:S:1:pos:R:3 pbc="T T T"
Pa 0.000 0.000 0.000
Co 3.315 0.000 1.691
Co 0.000 0.000 3.383
Ge 0.000 3.315 1.691
O 2.041 0.000 0.489
O 4.589 0.000 0.489
O 3.315 1.876 -1.273
O 3.315 -1.274 2.894
O 0.000 1.439 2.110
O 3.315 1.274 2.894
O 1.876 3.315 1.273
O 1.439 0.000 4.656
```

Summary:
SG = No. 119
Raw total energy = -82.38 eV/cell
Crystal system = tetragonal